Entry 1:
## Rb2BrF7 (GGA-PBE)

Data for a relaxed Rb2BrF7 crystal.

Computed properties:
offset from the most stable computed form: 117 meV/atom
SG: Fm-3m
formation energy without anion corrections: -36.7 kcal/mol of atoms
theoretical density: 3.4 g/cm3

Structure (POSCAR):
```
Rb2BrF7
1.0
-0.6182 0.0818 6.3691
-3.0430 -5.6254 -0.2231
2.1283 -4.9296 3.4850
F Rb Br
7 2 1
Cartesian
0.4273 -4.0024 3.3080
-2.8740 -4.3517 4.8247
-2.5216 -4.3983 1.1943
-0.7871 -1.1919 1.3214
-1.1395 -1.1452 4.9518
-1.9601 -6.4707 6.3231
-1.8306 -2.7718 3.0730
-0.1602 -3.8098 6.4636
-1.3726 -6.6634 3.1675
0.0000 0.0000 0.0000
```



Entry 2:
## LaZn2SiNi (GGA-PBE)

Data for a relaxed LaZn2SiNi crystal.

Computed properties:
offset from the most stable computed form: 0 meV/atom
SG: P4/mmm
formation energy without anion corrections: -7.8 kcal/mol of atoms
theoretical density: 6.2 g/cm3

Structure (POSCAR):
```
LaZn2SiNi
1.0
4.6124 0.0000 0.0000
0.0000 4.6124 0.0000
0.0000 0.0000 4.4876
Ni Si La Zn
1 1 1 2
Cartesian
0.0000 0.0000 0.0000
0.0000 0.0000 2.2438
2.3062 2.3062 2.2438
0.0000 2.3062 0.0000
2.3062 0.0000 0.0000
```



Entry 3:
## Li2InRh (GGA-PBE)

Data for a relaxed Li2InRh crystal.

Computed properties:
SG: I4/mmm
DFT formation energy: -0.3177 eV per atom
theoretical density: 6.1 g/cm3

Structure (POSCAR):
```
Li2InRh
1.0
4.9671 0.0294 0.0000
1.8959 4.5911 0.0000
-3.4315 -2.3103 2.7496
Li Rh In
2 1 1
Cartesian
3.4315 2.3103 0.0000
0.0000 0.0000 0.0000
0.9480 2.2955 1.3748
2.4835 0.0147 1.3748
```



Entry 4:
## CoNi (GGA-PBE)

Data for a relaxed CoNi crystal.

Computed properties:
SG: P-6m2
DFT formation energy: -0.0044 eV per atom
theoretical density: 9.0 g/cm3

Structure (POSCAR):
```
CoNi
1.0
-0.9376 0.0059 -2.3103
2.4517 -0.2886 0.3497
-0.5005 -4.0180 0.1929
Ni Co
1 1
Cartesian
1.0717 -2.1995 -0.4405
0.0000 0.0000 0.0000
```



Entry 5:
## RbTlNiCl6 (GGA-PBE)

Data for a relaxed RbTlNiCl6 crystal.

Computed properties:
SG: P312
formation energy without anion corrections: -21.8 kcal/mol of atoms
theoretical density: 3.3 g/cm3

Structure (POSCAR):
```
RbTlNiCl6
1.0
6.6064 0.0002 0.0000
3.3034 5.7211 0.0001
0.0001 -0.0002 7.3730
Cl Tl Rb Ni
6 1 1 1
Cartesian
7.7005 2.1980 2.2616
4.6596 3.6747 2.2616
5.5122 2.1979 5.1114
7.4591 5.5699 2.2616
5.7539 5.5698 5.1114
8.5532 3.6748 5.1113
3.3032 1.9071 3.6865
6.6063 0.0001 7.3729
6.6064 3.8142 3.6865
```



Entry 6:
## BC3 (GGA-PBE)

Data for a relaxed BC3 crystal.

Computed properties:
offset from the most stable computed form: 58 meV/atom
SG: Cm
DFT formation energy: 0.2989 eV per atom
theoretical density: 3.1 g/cm3

Structure (POSCAR):
```
BC3
1.0
4.2441 0.0577 -5.4391
-0.2792 2.5180 -6.5418
0.1156 -0.0702 7.0139
C B
9 3
Cartesian
2.5567 1.5320 -0.4470
1.8932 2.0969 -3.6060
2.0732 1.2153 1.0271
0.0315 0.7966 2.4906
2.4147 2.4033 -5.0136
0.5463 1.1014 1.0891
0.3801 1.9910 -3.5808
2.0910 0.4105 -1.4038
0.5971 0.3212 -1.4584
2.6523 0.7407 -2.9214
4.3151 -0.0096 1.5443
4.0563 1.7201 -7.5128
```



Entry 7:
## TaBeRe3 (GGA-PBE)

Data for a relaxed TaBeRe3 crystal.

Computed properties:
offset from the most stable computed form: 2235 meV/atom
SG: Pm-3m
DFT formation energy: 2.6651 eV per atom
theoretical density: 11.5 g/cm3

Structure (POSCAR):
```
TaBeRe3
1.0
-1.3791 -4.3613 1.3155
0.6803 -1.5563 -4.4463
4.5044 -1.1003 1.0743
Re Be Ta
3 1 1
Cartesian
2.2522 -0.5501 0.5371
0.3401 -0.7781 -2.2231
-0.6896 -2.1807 0.6578
1.9028 -3.5090 -1.0282
0.0000 0.0000 0.0000
```



Entry 8:
## Tb2PuNpS4 (GGA-PBE)

Data for a relaxed Tb2PuNpS4 crystal.

Computed properties:
SG: P2/m
formation energy without anion corrections: -41.7 kcal/mol of atoms
theoretical density: 9.0 g/cm3

Structure (POSCAR):
```
Tb2PuNpS4
1.0
3.9219 0.0000 0.0000
0.0000 6.8006 0.1217
0.0000 -2.3739 6.3885
Np Pu Tb S
1 1 2 4
Cartesian
0.0000 0.0000 0.0000
1.9610 3.4003 0.0608
1.9610 -1.1869 3.1943
0.0000 2.2134 3.2551
1.9610 3.3241 4.8852
1.9610 1.1026 1.6250
0.0000 -0.0873 4.8197
0.0000 4.5140 1.6905
```



Entry 9:
## TbNd2Cd4 (GGA-PBE)

Data for a relaxed TbNd2Cd4 crystal.

Computed properties:
SG: R-3m
DFT formation energy: -0.1325 eV per atom
theoretical density: 7.0 g/cm3

Structure (POSCAR):
```
TbNd2Cd4
1.0
5.0652 0.0000 1.5825
2.2854 4.5203 1.5825
-0.0927 -0.0570 9.1941
Cd Nd Tb
4 2 1
Cartesian
2.6938 1.6566 9.1725
0.8637 0.5311 6.1330
4.5640 2.8067 3.1865
6.3942 3.9321 6.2260
5.4503 3.3517 9.2472
1.8076 1.1116 3.1118
0.0000 0.0000 0.0000
```



Entry 10:
## RbCdIr2N (GGA-PBE)

Data for a relaxed RbCdIr2N crystal.

Computed properties:
SG: P4/mmm
formation energy without anion corrections: 50.5 kcal/mol of atoms
theoretical density: 8.3 g/cm3

Structure (POSCAR):
```
RbCdIr2N
1.0
5.2371 0.0000 0.0000
0.0000 4.3401 0.0000
0.0000 0.0000 5.2371
Ir Rb Cd N
2 1 1 1
Cartesian
2.6185 0.0000 0.0000
0.0000 0.0000 2.6185
2.6185 2.1700 2.6185
0.0000 0.0000 0.0000
0.0000 2.1700 0.0000
```



Entry 11:
## CuAg2Pt (GGA-PBE)

Data for a relaxed CuAg2Pt crystal.

Computed properties:
offset from the most stable computed form: 32 meV/atom
SG: Pm
DFT formation energy: 0.0118 eV per atom
theoretical density: 12.4 g/cm3

Structure (POSCAR):
```
CuAg2Pt
1.0
-1.1467 -3.6590 0.1984
0.6104 -0.3410 -2.7599
6.0300 -1.9645 -1.3773
Ag Pt Cu
2 1 1
Cartesian
1.1333 -2.4197 -0.9216
6.0006 -1.9556 -1.3837
4.3002 -3.5266 -3.0312
3.4098 -1.1797 -2.0482
```



Entry 12:
## AlAu2Se (GGA-PBE)

Data for a relaxed AlAu2Se crystal.

Computed properties:
SG: Cmm2
formation energy without anion corrections: 0.4 kcal/mol of atoms
theoretical density: 10.7 g/cm3

Structure (POSCAR):
```
AlAu2Se
1.0
-0.8949 -0.5034 -3.1051
3.0431 -1.0811 0.5166
-2.8139 -6.9916 1.9445
Al Au Se
1 2 1
Cartesian
-1.0321 -6.0253 0.1612
0.3978 -2.4727 -0.8269
-2.7385 -6.8040 1.8923
-1.5139 -3.7613 1.0461
```